Entry 1:
First-principles (GGA-PBE) data for LuPu2Ga after structural relaxation, as listed in the Alexandria database.

Properties
The excess energy over the best structure of this formula in the dataset is 0.2270 eV/atom. For the size of the total moment, the calculation gives 11.8 μB per formula unit. The formation energy comes out at 0.055 eV per atom. Its space group is R-3m (166).

a b c (Å): 3.3618 3.3618 10.7912
angles (deg): 81.04 81.04 60.00
With the nearest neighbours (Å) after each atom.
Fractional positions:
Lu 0.5000 0.5000 0.5000  6 Lu 3.36, 6 Pu 3.50
Ga 0.0000 0.0000 0.0000  6 Pu 3.09, 6 Ga 3.36
Pu 0.2580 0.2580 0.2259  3 Ga 3.09, 6 Pu 3.36
Pu 0.7420 0.7420 0.7741  3 Ga 3.09, 6 Pu 3.36


Entry 2:
First-principles (GGA-PBE) data for AgOs2Pt after structural relaxation, as listed in the Alexandria database.

Properties
For the size of the total moment, the calculation gives 0.0 μB per formula unit. The formation energy comes out at 0.525 eV per atom. Its space group is I-4m2 (119).

a b c (Å): 4.8158 4.8158 4.8158
angles (deg): 131.86 131.86 70.46
With the nearest neighbours (Å) after each atom.
Fractional positions:
Os 0.0000 0.0000 0.0000  4 Pt 2.78, 4 Os 2.78, 4 Ag 2.78
Os 0.2500 0.7500 0.5000  4 Ag 2.78, 4 Pt 2.78, 4 Os 2.78
Ag 0.7500 0.2500 0.5000  8 Os 2.78, 4 Pt 2.78
Pt 0.5000 0.5000 0.0000  8 Os 2.78, 4 Ag 2.78


Entry 3:
First-principles (GGA-PBE) data for BaPAu after structural relaxation, as listed in the Alexandria database.

Properties
For the size of the total moment, the calculation gives 0.0 μB per formula unit. The formation energy comes out at -0.793 eV per atom. Its space group is P-1 (2).

a b c (Å): 8.1009 5.1021 5.0694
angles (deg): 76.36 78.17 103.76
With the nearest neighbours (Å) after each atom.
Fractional positions:
P 0.1530 0.9892 0.9971  2 Au 2.37-2.41
P 0.7773 0.3312 0.6662  2 Au 2.37-2.41
Au 0.9651 0.6602 0.8316  2 P 2.41
Au 0.4651 0.1602 0.8316  2 P 2.37
Ba 0.1855 0.4015 0.3747  4 P 3.16-3.27, 1 Au 3.34
Ba 0.7447 0.9189 0.2887  4 P 3.16-3.27, 1 Au 3.34


Which value of size of the total moment does entry 2 give?
0.0 μB per formula unit